# 1
# CdI3Cl, optimized geometry, DFT GGA-PBEsol
data_CdI3Cl
_chemical_formula_sum 'Cd1 I3 Cl1'
_cell_length_a 5.617
_cell_length_b 5.617
_cell_length_c 5.617
_cell_angle_alpha 90.00
_cell_angle_beta 90.00
_cell_angle_gamma 90.00
_space_group_name_H-M_alt 'P m -3 m'
_space_group_IT_number 221
_space_group_name_Hall '-P 4 2 3'
loop_
_atom_site_label
_atom_site_type_symbol
_atom_site_fract_x
_atom_site_fract_y
_atom_site_fract_z
Cd1 Cd 0.000 0.000 0.000
I1 I 0.000 0.500 0.500
Cl1 Cl 0.500 0.500 0.500
# ΔE_f (raw)	0.346	eV per atom
# spin magnetization	0.002	μB/f.u.



# 2
# CdIN2Cl, optimized geometry, DFT GGA-PBEsol
data_CdIN2Cl
_chemical_formula_sum 'Cd1 I1 N2 Cl1'
_cell_length_a 4.143
_cell_length_b 4.143
_cell_length_c 6.964
_cell_angle_alpha 90.00
_cell_angle_beta 90.00
_cell_angle_gamma 90.00
_space_group_name_H-M_alt 'P 4/m m m'
_space_group_IT_number 123
_space_group_name_Hall '-P 4 2'
loop_
_atom_site_label
_atom_site_type_symbol
_atom_site_fract_x
_atom_site_fract_y
_atom_site_fract_z
Cd1 Cd 0.000 0.000 0.000
I1 I 0.500 0.500 0.000
N1 N 0.000 0.500 0.500
Cl1 Cl 0.500 0.500 0.500
# ΔE_f (raw)	1.859	eV per atom
# spin magnetization	3.211	μB/f.u.



# 3
# CdIN2Cl, optimized geometry, DFT GGA-PBEsol
data_CdIN2Cl
_chemical_formula_sum 'Cd1 I1 N2 Cl1'
_cell_length_a 4.326
_cell_length_b 4.326
_cell_length_c 6.327
_cell_angle_alpha 90.00
_cell_angle_beta 90.00
_cell_angle_gamma 90.00
_space_group_name_H-M_alt 'P 4/m m m'
_space_group_IT_number 123
_space_group_name_Hall '-P 4 2'
loop_
_atom_site_label
_atom_site_type_symbol
_atom_site_fract_x
_atom_site_fract_y
_atom_site_fract_z
Cd1 Cd 0.000 0.000 0.000
I1 I 0.000 0.000 0.500
N1 N 0.000 0.500 0.000
Cl1 Cl 0.500 0.500 0.500
# ΔE_f (raw)	1.597	eV per atom
# spin magnetization	4.175	μB/f.u.



# 4
# CdIClO3, optimized geometry, DFT GGA-PBEsol
data_CdIClO3
_chemical_formula_sum 'Cd8 I8 Cl8 O24'
_cell_length_a 7.155
_cell_length_b 15.962
_cell_length_c 7.219
_cell_angle_alpha 90.00
_cell_angle_beta 90.00
_cell_angle_gamma 90.00
_space_group_name_H-M_alt 'C m c e'
_space_group_IT_number 64
_space_group_name_Hall '-C 2ac 2'
loop_
_atom_site_label
_atom_site_type_symbol
_atom_site_fract_x
_atom_site_fract_y
_atom_site_fract_z
Cd1 Cd 0.250 0.102 0.250
I1 I 0.000 0.100 0.732
Cl1 Cl 0.000 0.211 0.162
O1 O 0.000 0.014 0.219
O2 O 0.196 0.100 0.567
# ΔE_f (raw)	-0.701	eV per atom
# spin magnetization	0.000	μB/f.u.



# 5
# CdI2ClO, optimized geometry, DFT GGA-PBEsol
data_CdI2ClO
_chemical_formula_sum 'Cd1 I2 Cl1 O1'
_cell_length_a 5.913
_cell_length_b 5.913
_cell_length_c 4.010
_cell_angle_alpha 90.00
_cell_angle_beta 90.00
_cell_angle_gamma 90.00
_space_group_name_H-M_alt 'P 4/m m m'
_space_group_IT_number 123
_space_group_name_Hall '-P 4 2'
loop_
_atom_site_label
_atom_site_type_symbol
_atom_site_fract_x
_atom_site_fract_y
_atom_site_fract_z
Cd1 Cd 0.000 0.000 0.000
I1 I 0.000 0.500 0.000
Cl1 Cl 0.500 0.500 0.500
O1 O 0.000 0.000 0.500
# ΔE_f (raw)	0.229	eV per atom
# spin magnetization	2.702	μB/f.u.



# 6
# CdP2ICl, optimized geometry, DFT GGA-PBEsol
data_CdP2ICl
_chemical_formula_sum 'Cd1 P2 I1 Cl1'
_cell_length_a 5.100
_cell_length_b 5.100
_cell_length_c 5.237
_cell_angle_alpha 90.00
_cell_angle_beta 90.00
_cell_angle_gamma 90.00
_space_group_name_H-M_alt 'P 4/m m m'
_space_group_IT_number 123
_space_group_name_Hall '-P 4 2'
loop_
_atom_site_label
_atom_site_type_symbol
_atom_site_fract_x
_atom_site_fract_y
_atom_site_fract_z
Cd1 Cd 0.000 0.000 0.000
P1 P 0.000 0.500 0.500
I1 I 0.500 0.500 0.500
Cl1 Cl 0.500 0.500 0.000
# ΔE_f (raw)	1.043	eV per atom
# spin magnetization	0.000	μB/f.u.



# 7
# CdIn2Cl, optimized geometry, DFT GGA-PBEsol
data_CdIn2Cl
_chemical_formula_sum 'Cd1 In2 Cl1'
_cell_length_a 3.295
_cell_length_b 3.295
_cell_length_c 8.825
_cell_angle_alpha 90.00
_cell_angle_beta 90.00
_cell_angle_gamma 90.00
_space_group_name_H-M_alt 'P 4 m m'
_space_group_IT_number 99
loop_
_space_group_symop_operation_xyz
'x,y,z'
'-y,x,z'
'-x,-y,z'
'y,-x,z'
'-x,y,z'
'y,x,z'
'x,-y,z'
'-y,-x,z'
loop_
_atom_site_label
_atom_site_type_symbol
_atom_site_fract_x
_atom_site_fract_y
_atom_site_fract_z
Cd1 Cd 0.000 0.000 0.000
In1 In 0.000 0.000 0.476
In2 In 0.500 0.500 0.759
Cl1 Cl 0.500 0.500 0.204
# ΔE_f (raw)	-0.221	eV per atom
# spin magnetization	0.000	μB/f.u.



# 8
# Cd2InCl, optimized geometry, DFT GGA-PBEsol
data_Cd2InCl
_chemical_formula_sum 'Cd4 In2 Cl2'
_cell_length_a 5.896
_cell_length_b 11.318
_cell_length_c 3.416
_cell_angle_alpha 90.00
_cell_angle_beta 123.65
_cell_angle_gamma 90.00
_space_group_name_H-M_alt 'C 1 2/m 1'
_space_group_IT_number 12
loop_
_space_group_symop_operation_xyz
'x,y,z'
'-x,-y,-z'
'-x,y,-z'
'x,-y,z'
'x+1/2,y+1/2,z'
'-x+1/2,-y+1/2,-z'
'-x+1/2,y+1/2,-z'
'x+1/2,-y+1/2,z'
loop_
_atom_site_label
_atom_site_type_symbol
_atom_site_fract_x
_atom_site_fract_y
_atom_site_fract_z
Cd1 Cd 0.250 0.250 0.000
In1 In 0.000 0.000 0.500
Cl1 Cl 0.000 0.500 0.500
# ΔE_f (raw)	-0.237	eV per atom
# spin magnetization	0.000	μB/f.u.



# 9
# CdIn2Cl, optimized geometry, DFT GGA-PBEsol
data_CdIn2Cl
_chemical_formula_sum 'Cd2 In4 Cl2'
_cell_length_a 3.251
_cell_length_b 5.417
_cell_length_c 10.855
_cell_angle_alpha 90.00
_cell_angle_beta 90.00
_cell_angle_gamma 90.00
_space_group_name_H-M_alt 'I m m 2'
_space_group_IT_number 44
loop_
_space_group_symop_operation_xyz
'x,y,z'
'-x,-y,z'
'-x,y,z'
'x,-y,z'
'x+1/2,y+1/2,z+1/2'
'-x+1/2,-y+1/2,z+1/2'
'-x+1/2,y+1/2,z+1/2'
'x+1/2,-y+1/2,z+1/2'
loop_
_atom_site_label
_atom_site_type_symbol
_atom_site_fract_x
_atom_site_fract_y
_atom_site_fract_z
Cd1 Cd 0.000 0.000 0.000
In1 In 0.000 0.000 0.493
In2 In 0.000 0.500 0.255
Cl1 Cl 0.000 0.500 0.737
# ΔE_f (raw)	-0.237	eV per atom
# spin magnetization	0.000	μB/f.u.



# 10
# Cd2In2Cl, optimized geometry, DFT GGA-PBEsol
data_Cd2In2Cl
_chemical_formula_sum 'Cd4 In4 Cl2'
_cell_length_a 4.077
_cell_length_b 4.077
_cell_length_c 15.480
_cell_angle_alpha 90.00
_cell_angle_beta 90.00
_cell_angle_gamma 90.00
_space_group_name_H-M_alt 'I 4/m m m'
_space_group_IT_number 139
_space_group_name_Hall '-I 4 2'
loop_
_atom_site_label
_atom_site_type_symbol
_atom_site_fract_x
_atom_site_fract_y
_atom_site_fract_z
Cd1 Cd 0.000 0.500 0.250
In1 In 0.000 0.000 0.094
Cl1 Cl 0.000 0.000 0.500
# ΔE_f (raw)	-0.107	eV per atom
# spin magnetization	0.000	μB/f.u.



# 11
# CdInCl4, optimized geometry, DFT GGA-PBEsol
data_CdInCl4
_chemical_formula_sum 'Cd4 In4 Cl16'
_cell_length_a 8.354
_cell_length_b 8.354
_cell_length_c 8.354
_cell_angle_alpha 90.00
_cell_angle_beta 90.00
_cell_angle_gamma 90.00
_space_group_name_H-M_alt 'F -4 3 m'
_space_group_IT_number 216
_space_group_name_Hall 'F -4 2 3'
loop_
_atom_site_label
_atom_site_type_symbol
_atom_site_fract_x
_atom_site_fract_y
_atom_site_fract_z
Cd1 Cd 0.000 0.000 0.000
In1 In 0.250 0.250 0.750
Cl1 Cl 0.126 0.126 0.374
# ΔE_f (raw)	0.146	eV per atom
# spin magnetization	2.331	μB/f.u.



# 12
# CdInCl2, optimized geometry, DFT GGA-PBEsol
data_CdInCl2
_chemical_formula_sum 'Cd2 In2 Cl4'
_cell_length_a 3.883
_cell_length_b 5.935
_cell_length_c 8.705
_cell_angle_alpha 90.00
_cell_angle_beta 90.00
_cell_angle_gamma 90.00
_space_group_name_H-M_alt 'C m m 2'
_space_group_IT_number 35
loop_
_space_group_symop_operation_xyz
'x,y,z'
'-x,-y,z'
'-x,y,z'
'x,-y,z'
'x+1/2,y+1/2,z'
'-x+1/2,-y+1/2,z'
'-x+1/2,y+1/2,z'
'x+1/2,-y+1/2,z'
loop_
_atom_site_label
_atom_site_type_symbol
_atom_site_fract_x
_atom_site_fract_y
_atom_site_fract_z
Cd1 Cd 0.000 0.000 0.000
In1 In 0.000 0.500 0.749
Cl1 Cl 0.000 0.000 0.542
Cl2 Cl 0.000 0.500 0.187
# ΔE_f (raw)	-0.555	eV per atom
# spin magnetization	0.000	μB/f.u.